# 1
P2IrPb | PBEsol | optimized geometry

Computed properties:
- Energy of formation from the pure elements: 0.203 eV/atom

```
P2IrPb
1.0
-2.221 -0.306 2.168
-1.740 -1.629 -2.011
3.139 -6.237 2.336
P Pb Ir
2 1 1
direct
0.000 0.000 0.989 P
0.500 0.500 0.155 P
0.000 0.000 0.531 Pb
0.500 0.500 0.825 Ir
```



# 2
Mg2GaHgB | PBEsol | optimized geometry

Computed properties:
- Energy of formation from the pure elements: 1.138 eV/atom

```
Mg2GaHgB
1.0
4.871 0.000 0.000
0.000 5.133 0.000
0.000 0.000 5.133
Mg Ga B Hg
2 1 1 1
direct
0.000 0.500 0.000 Mg
0.000 0.000 0.500 Mg
0.500 0.000 0.000 Ga
0.500 0.500 0.500 B
0.000 0.000 0.000 Hg
```



# 3
Y2ZrSi2 | PBEsol | optimized geometry

Computed properties:
- Energy relative to the elements, uncorrected: -0.77 eV per atom

```
Y2ZrSi2
1.0
-0.486 -2.280 -3.350
6.319 -3.256 1.301
-3.399 -5.032 3.918
Y Zr Si
4 2 4
direct
0.500 0.676 0.824 Y
0.500 0.824 0.324 Y
0.500 0.176 0.676 Y
0.500 0.324 0.176 Y
0.000 0.000 0.000 Zr
0.000 0.500 0.500 Zr
0.000 0.123 0.377 Si
0.000 0.623 0.123 Si
0.000 0.377 0.877 Si
0.000 0.877 0.623 Si
```



no.,calculated total energy (eV for the cell shown),size of the total moment (μB per atom),calculated volume (Å³ per cell)
1,-24.6,0.0000,72
2,-8.7,0.0007,128
3,-76.1,0.0002,213